Computed, not measured: crystalline Li9MgNi12O26 at its relaxed geometry at the PBE+U level of DFT.

Unit cell a=7.5161 b=7.6971 c=8.3006 alpha=104.36 beta=106.02 gamma=85.06
With the nearest neighbours (Å) after each atom.
Sites, in units of the cell vectors:
Mg 0.9967 0.0046 0.0010  6 O 2.01-2.08
Li 0.4655 0.3028 0.1895  6 O 2.06-2.19
Li 0.6303 0.0635 0.4392  4 O 2.00-2.15
Li 0.6786 0.4508 0.0338  5 O 2.02-2.17
Li 0.5377 0.7064 0.7925  5 O 2.04-2.23
Li 0.1530 0.7663 0.7338  6 O 2.06-2.30
Li 0.0050 0.0063 0.5038  6 O 2.08-2.21
Li 0.0738 0.3832 0.1108  6 O 2.07-2.22
Li 0.2226 0.1544 0.3500  6 O 2.06-2.21
Li 0.9243 0.6129 0.8779  6 O 2.05-2.20
O 0.6916 0.4443 0.7846  3 Ni 1.90-2.09, 2 Li 2.09-2.12
O 0.5523 0.7172 0.0800  3 Ni 1.88-1.97
O 0.8343 0.2249 0.9916  2 Ni 1.87-1.98, 1 Mg 2.01, 1 Li 2.02
O 0.1685 0.7825 0.0069  2 Ni 1.89, 1 Mg 2.05
O 0.3854 0.9334 0.8615  3 Ni 1.87-1.99, 1 Li 2.05
O 0.0850 0.4092 0.3767  3 Ni 1.88-2.06
O 0.9304 0.6433 0.1352  2 Ni 1.87-1.89, 1 Li 2.08
O 0.7820 0.8324 0.3808  3 Ni 1.87-2.06, 1 Li 2.06
O 0.7602 0.8616 0.9310  2 Ni 1.88-1.89, 1 Li 2.04, 1 Mg 2.04
O 0.2980 0.5495 0.2287  3 Ni 1.88-2.07, 1 Li 2.07
O 0.4579 0.2772 0.9299  3 Ni 1.88-2.05, 2 Li 2.07-2.10
O 0.9230 0.5913 0.6258  2 Ni 1.86-1.95, 1 Li 2.05
O 0.4621 0.3328 0.4489  3 Ni 1.89-2.07
O 0.2249 0.1817 0.6039  2 Ni 1.86-1.95, 2 Li 2.06-2.08
O 0.5308 0.6630 0.5313  3 Ni 1.88-1.95, 1 Li 2.10
O 0.6075 0.0467 0.1721  2 Ni 1.88
O 0.3076 0.5360 0.6802  3 Ni 1.88-2.03, 1 Li 2.06
O 0.6953 0.4909 0.2928  2 Ni 1.86-1.90, 1 Li 2.06
O 0.0095 0.0293 0.7610  2 Ni 1.87-1.92, 1 Mg 2.08, 1 Li 2.09
O 0.2448 0.1329 0.1001  1 Ni 1.87, 1 Mg 2.05, 2 Li 2.06-2.09
O 0.3774 0.8973 0.3041  3 Ni 1.90-1.91
O 0.0631 0.3654 0.8537  3 Ni 1.88-2.04, 2 Li 2.08
O 0.8425 0.2481 0.5466  3 Ni 1.89-2.01, 1 Li 2.08
O 0.0015 0.9702 0.2424  2 Ni 1.87-1.90, 1 Mg 2.08
O 0.6251 0.1022 0.6850  3 Ni 1.87-2.06, 1 Li 2.00
O 0.1485 0.7439 0.4512  3 Ni 1.89-1.93
Ni 0.1542 0.7650 0.2263  6 O 1.87-1.93
Ni 0.4578 0.3092 0.6915  6 O 1.94-2.07
Ni 0.3859 0.9198 0.0831  6 O 1.87-1.91
Ni 0.3065 0.5387 0.4546  6 O 1.88-1.89
Ni 0.9230 0.6153 0.3809  6 O 1.90-2.12
Ni 0.2306 0.1551 0.8493  5 O 1.87-2.09
Ni 0.5399 0.6923 0.3069  6 O 1.86-2.07
Ni 0.8437 0.2337 0.7707  6 O 1.87-1.92
Ni 0.6136 0.0730 0.9223  5 O 1.88-2.06
Ni 0.0760 0.3883 0.6171  6 O 1.86-2.06
Ni 0.6928 0.4600 0.5370  6 O 1.90-2.10
Ni 0.7723 0.8482 0.1571  6 O 1.87-1.90

Properties
ρ (Mg/m³): 4.48
Total magnetization (μB/cell): 9.00
Calculated total energy (eV per atom): -4.8508